The following is a DFT calculation (PBE-GGA) of an optimized crystal structure of CaAc2AuO5.

Lattice parameters (Å, degrees): 7.085 7.085 6.158 90.00 90.00 90.00
Space group P4/mbm (No. 127)
One atom of each set of equivalent atoms:
Ca  0.000  0.000  0.000 x2
Ac  0.171  0.329  0.500 x4
Au  0.000  0.500  0.000 x2
O  0.000  0.000  0.500 x2
O  0.154  0.654  0.242 x8

Total energy: -6.488 eV per atom
Crystal system: tetragonal
Formation energy without anion corrections: -215.6 kJ per mole of atoms

The following is a DFT calculation (PBE-GGA) of an optimized crystal structure of CaAcAuO4.

Lattice parameters (Å, degrees): 5.825 11.236 7.044 90.00 90.00 90.00
Space group Cmcm (No. 63)
One atom of each set of equivalent atoms:
Ca  0.000  0.000  0.000 x4
Ac  0.000  0.322  0.250 x4
Au  0.000  0.349  0.750 x4
O  0.000  0.208  0.549 x8
O  0.234  0.495  0.750 x8

Total energy: -5.977 eV per atom
DOS(E_F): 0.29 states/eV/atom
Crystal system: orthorhombic
Formation energy without anion corrections: -174.0 kJ per mole of atoms

The following is a DFT calculation (PBE-GGA) of an optimized crystal structure of CaAc2AuO6.

Lattice parameters (Å, degrees): 5.857 5.857 4.663 90.00 90.00 90.00
Space group P4mm (No. 99)
One atom of each set of equivalent atoms:
Ca  0.000  0.000  0.000 x1
Ac  0.000  0.500  0.449 x2
Au  0.500  0.500  0.076 x1
O  0.000  0.000  0.528 x1
O  0.259  0.259  0.113 x4
O  0.500  0.500  0.581 x1

Total energy: -6.485 eV per atom
DOS(E_F): 0.24 states/eV/atom
Crystal system: tetragonal
Formation energy without anion corrections: -208.4 kJ per mole of atoms

The following is a DFT calculation (PBE-GGA) of an optimized crystal structure of CaAc2Au2O6.

Lattice parameters (Å, degrees): 6.2705 6.2705 17.3790 90.00 90.00 120.00
Space group R-3m (No. 166, hexagonal axes)
One atom of each set of equivalent atoms:
Ca  0.0000  0.0000  0.0000 x3
Ac  0.0000  0.0000  0.2060 x6
Au  0.0000  0.0000  0.4152 x6
O  0.0484  0.5242  0.7657 x18

Total energy: -5.894 eV per atom
DOS(E_F): 0.55 states/eV/atom
Crystal system: trigonal
Formation energy without anion corrections: -160.6 kJ per mole of atoms

The following is a DFT calculation (PBE-GGA) of an optimized crystal structure of CaAcPAu.

Lattice parameters (Å, degrees): 7.461 7.461 7.461 90.00 90.00 90.00
Space group F-43m (No. 216)
One atom of each set of equivalent atoms:
Ca  0.000  0.000  0.000 x4
Ac  0.000  0.000  0.500 x4
P  0.250  0.250  0.250 x4
Au  0.250  0.250  0.750 x4

Total energy: -4.562 eV per atom
DOS(E_F): 0.52 states/eV/atom
Calculated formation energy: -0.86 eV per atom
Crystal system: cubic

The following is a DFT calculation (PBE-GGA) of an optimized crystal structure of CaAcPbAu.

Lattice parameters (Å, degrees): 7.873 7.873 7.873 90.00 90.00 90.00
Space group F-43m (No. 216)
One atom of each set of equivalent atoms:
Ca  0.000  0.000  0.000 x4
Ac  0.000  0.000  0.500 x4
Pb  0.250  0.250  0.750 x4
Au  0.250  0.250  0.250 x4

Total energy: -3.955 eV per atom
DOS(E_F): 0.26 states/eV/atom
Calculated formation energy: -0.68 eV per atom
Crystal system: cubic

The following is a DFT calculation (PBE-GGA) of an optimized crystal structure of CaAc2Pd3Au12.

Lattice parameters (Å, degrees): 9.6189 9.6189 16.8541 90.00 90.00 120.00
Space group R-3m (No. 166, hexagonal axes)
One atom of each set of equivalent atoms:
Ca  0.0000  0.0000  0.0000 x3
Ac  0.0000  0.0000  0.3876 x6
Pd  0.0000  0.5000  0.5000 x9
Au  0.0039  0.5020  0.8284 x18
Au  0.0068  0.5034  0.3454 x18

Total energy: -3.759 eV per atom
DOS(E_F): 0.32 states/eV/atom
Calculated formation energy: -0.14 eV per atom
Crystal system: trigonal

The following is a DFT calculation (PBE-GGA) of an optimized crystal structure of Ca2AcPmAu4.

Lattice parameters (Å, degrees): 5.2422 5.2422 26.1032 90.00 90.00 120.00
Space group R-3m (No. 166, hexagonal axes)
One atom of each set of equivalent atoms:
Ca  0.0000  0.0000  0.2471 x6
Ac  0.0000  0.0000  0.0000 x3
Pm  0.0000  0.0000  0.5000 x3
Au  0.0000  0.0000  0.1276 x6
Au  0.0000  0.0000  0.3809 x6

Total energy: -4.047 eV per atom
DOS(E_F): 0.68 states/eV/atom
Calculated formation energy: -0.80 eV per atom
Crystal system: trigonal

The following is a DFT calculation (PBE-GGA) of an optimized crystal structure of Ca2AcPrAu4.

Lattice parameters (Å, degrees): 5.2736 5.2736 26.1057 90.00 90.00 120.00
Space group R-3m (No. 166, hexagonal axes)
One atom of each set of equivalent atoms:
Ca  0.0000  0.0000  0.2476 x6
Ac  0.0000  0.0000  0.0000 x3
Pr  0.0000  0.0000  0.5000 x3
Au  0.0000  0.0000  0.1269 x6
Au  0.0000  0.0000  0.3790 x6

Total energy: -4.047 eV per atom
DOS(E_F): 0.68 states/eV/atom
Calculated formation energy: -0.80 eV per atom
Crystal system: trigonal

The following is a DFT calculation (PBE-GGA) of an optimized crystal structure of CaAcRhAu.

Lattice parameters (Å, degrees): 7.373 7.373 7.373 90.00 90.00 90.00
Space group F-43m (No. 216)
One atom of each set of equivalent atoms:
Ca  0.000  0.000  0.000 x4
Ac  0.000  0.000  0.500 x4
Rh  0.250  0.250  0.250 x4
Au  0.250  0.250  0.750 x4

Total energy: -4.802 eV per atom
DOS(E_F): 0.36 states/eV/atom
Calculated formation energy: -0.62 eV per atom
Crystal system: cubic
Energy above the most stable polymorph in this dataset: 102 meV/atom

The following is a DFT calculation (PBE-GGA) of an optimized crystal structure of Ca2AcRhAu.

Lattice parameters (Å, degrees): 5.360 5.360 5.824 90.00 90.00 90.00
Space group P4mm (No. 99)
One atom of each set of equivalent atoms:
Ca  0.000  0.500  0.000 x2
Ac  0.000  0.000  0.535 x1
Rh  0.000  0.000  0.058 x1
Au  0.500  0.500  0.680 x1

Total energy: -4.120 eV per atom
DOS(E_F): 0.53 states/eV/atom
Calculated formation energy: -0.37 eV per atom
Crystal system: tetragonal

The following is a DFT calculation (PBE-GGA) of an optimized crystal structure of CaAcRhAu.

Lattice parameters (Å, degrees): 4.355 4.108 11.686 90.00 90.00 90.00
Space group Amm2 (No. 38)
One atom of each set of equivalent atoms:
Ca  0.000  0.000  0.000 x2
Ac  0.500  0.000  0.722 x2
Rh  0.000  0.000  0.275 x2
Au  0.500  0.000  0.442 x2

Total energy: -4.905 eV per atom
DOS(E_F): 0.63 states/eV/atom
Calculated formation energy: -0.72 eV per atom
Crystal system: orthorhombic
Energy above the most stable polymorph in this dataset: 0 meV/atom

> total energy of number 5 (CaAcPAu)?

-4.562 eV per atom

> Which of these has the highest total energy?

CaAc2Pd3Au12

> What is the formula in the fourth record?

CaAc2Au2O6